Material: Ho2Ag3GeS6
Method: DFT, PBE-GGA
State: relaxed

Output
E_form (uncorrected), meV per atom: -873
Calculated total energy, eV/f.u.: -57.56

Cell lengths 17.0843, 3.9011, 7.5645 Å; angles 90.00, 101.02, 90.00 degrees
With the nearest neighbours (Å) after each atom.
Space group C2/m (No. 12)
One atom of each set of equivalent atoms:
Ho1 0.1641 0.0000 0.3301 x4  6 S 2.71-2.76
Ag1 0.0000 0.5000 0.5000 x2  6 S 2.76-2.88
Ag2 0.1763 0.0000 0.8360 x4  6 S 2.72-2.97
Ge1 0.0000 0.5000 0.0000 x2  6 S 2.62-2.67
S1 0.0007 0.0000 0.2415 x4  2 Ge 2.67, 1 Ho 2.74, 3 Ag 2.76-2.97
S2 0.1561 0.5000 0.0777 x4  1 Ge 2.62, 2 Ho 2.71, 3 Ag 2.74-2.81
S3 0.1717 0.5000 0.5834 x4  3 Ho 2.72-2.76, 3 Ag 2.72-2.88

=====

Material: Ho3Ag3GeS8
Method: DFT, PBE-GGA
State: relaxed

Output
E_form (uncorrected), meV per atom: -1030
Calculated total energy, eV/f.u.: -75.37

Cell lengths 13.3139, 7.8366, 7.7512 Å; angles 90.00, 124.45, 90.00 degrees
With the nearest neighbours (Å) after each atom.
Space group C2/m (No. 12)
One atom of each set of equivalent atoms:
Ho1 0.0000 0.0000 0.0000 x2  6 S 2.69-2.76
Ho2 0.2500 0.2500 0.5000 x4  6 S 2.69-2.76
Ag1 0.0000 0.5000 0.5000 x2  6 S 2.77-2.80
Ag2 0.2500 0.2500 0.0000 x4  6 S 2.75-2.82
Ge1 0.0000 0.5000 0.0000 x2  6 S 2.49
S1 0.0000 0.2732 0.2251 x8  1 Ge 2.49, 2 Ag 2.75-2.77, 2 Ho 2.76
S2 0.2265 0.5000 0.2281 x4  1 Ge 2.49, 2 Ho 2.76, 2 Ag 2.77
S3 0.2447 0.0000 0.2570 x4  3 Ho 2.69, 3 Ag 2.80-2.82

=====

> What is the calculated total energy in the second record?

-75.37 eV/f.u.

=====

> Among the records above, which one has the highest calculated total energy?

Ho2Ag3GeS6

=====

> E_form (uncorrected) of number 2 (Ho3Ag3GeS8)?

-1030 meV per atom

=====

Copy entry 1 word for word.
Material: Ho2Ag3GeS6
Method: DFT, PBE-GGA
State: relaxed

Output
E_form (uncorrected), meV per atom: -873
Calculated total energy, eV/f.u.: -57.56

Cell lengths 17.0843, 3.9011, 7.5645 Å; angles 90.00, 101.02, 90.00 degrees
With the nearest neighbours (Å) after each atom.
Space group C2/m (No. 12)
One atom of each set of equivalent atoms:
Ho1 0.1641 0.0000 0.3301 x4  6 S 2.71-2.76
Ag1 0.0000 0.5000 0.5000 x2  6 S 2.76-2.88
Ag2 0.1763 0.0000 0.8360 x4  6 S 2.72-2.97
Ge1 0.0000 0.5000 0.0000 x2  6 S 2.62-2.67
S1 0.0007 0.0000 0.2415 x4  2 Ge 2.67, 1 Ho 2.74, 3 Ag 2.76-2.97
S2 0.1561 0.5000 0.0777 x4  1 Ge 2.62, 2 Ho 2.71, 3 Ag 2.74-2.81
S3 0.1717 0.5000 0.5834 x4  3 Ho 2.72-2.76, 3 Ag 2.72-2.88